# Zr2MoP PBE-GGA optimized geometry
# Energy in eV/atom: -8.8808
data_Zr2MoP
_cell_length_a 3.4627
_cell_length_b 3.4627
_cell_length_c 5.9941
_cell_angle_alpha 90.00
_cell_angle_beta 90.00
_cell_angle_gamma 90.00
_space_group_name_H-M_alt 'P 4/m m m'
_space_group_IT_number 123
_space_group_name_Hall '-P 4 2'
loop_
_atom_site_label
_atom_site_fract_x
_atom_site_fract_y
_atom_site_fract_z
Zr1 0.0000 0.0000 0.2432
Mo1 0.5000 0.5000 0.5000
P1 0.5000 0.5000 0.0000